Entry 1:
Entry from the Alexandria database: a relaxed structure of NdLuMgPd (PBE-GGA).

Structure (CIF):
```
data_NdLuMgPd
_chemical_formula_sum 'Nd4 Lu4 Mg4 Pd4'
_space_group_name_H-M_alt 'F -4 3 m'
_space_group_IT_number 216
_space_group_name_Hall 'F -4 2 3'
_cell_length_a 7.306
_cell_length_b 7.306
_cell_length_c 7.306
_cell_angle_alpha 90.00
_cell_angle_beta 90.00
_cell_angle_gamma 90.00
loop_
_atom_site_label
_atom_site_type_symbol
_atom_site_fract_x
_atom_site_fract_y
_atom_site_fract_z
Nd1 Nd 0.000 0.000 0.000
Lu1 Lu 0.000 0.000 0.500
Mg1 Mg 0.250 0.250 0.250
Pd1 Pd 0.250 0.250 0.750
```

=====

Entry 2:
Entry from the Alexandria database: a relaxed structure of NdLuMgRu (PBE-GGA).

Structure (CIF):
```
data_NdLuMgRu
_chemical_formula_sum 'Nd4 Lu4 Mg4 Ru4'
_space_group_name_H-M_alt 'F -4 3 m'
_space_group_IT_number 216
_space_group_name_Hall 'F -4 2 3'
_cell_length_a 7.147
_cell_length_b 7.147
_cell_length_c 7.147
_cell_angle_alpha 90.00
_cell_angle_beta 90.00
_cell_angle_gamma 90.00
loop_
_atom_site_label
_atom_site_type_symbol
_atom_site_fract_x
_atom_site_fract_y
_atom_site_fract_z
Nd1 Nd 0.000 0.000 0.000
Lu1 Lu 0.000 0.000 0.500
Mg1 Mg 0.250 0.250 0.250
Ru1 Ru 0.250 0.250 0.750
```

=====

Entry 3:
Entry from the Alexandria database: a relaxed structure of NdSmLuMg (PBE-GGA).

Structure (CIF):
```
data_NdSmLuMg
_chemical_formula_sum 'Nd4 Sm4 Lu4 Mg4'
_space_group_name_H-M_alt 'F -4 3 m'
_space_group_IT_number 216
_space_group_name_Hall 'F -4 2 3'
_cell_length_a 7.850
_cell_length_b 7.850
_cell_length_c 7.850
_cell_angle_alpha 90.00
_cell_angle_beta 90.00
_cell_angle_gamma 90.00
loop_
_atom_site_label
_atom_site_type_symbol
_atom_site_fract_x
_atom_site_fract_y
_atom_site_fract_z
Nd1 Nd 0.000 0.000 0.000
Sm1 Sm 0.000 0.000 0.500
Lu1 Lu 0.250 0.250 0.250
Mg1 Mg 0.250 0.250 0.750
```

=====

Entry 4:
Entry from the Alexandria database: a relaxed structure of TbNdLuMg (PBE-GGA).

Structure (CIF):
```
data_TbNdLuMg
_chemical_formula_sum 'Tb4 Nd4 Lu4 Mg4'
_space_group_name_H-M_alt 'F -4 3 m'
_space_group_IT_number 216
_space_group_name_Hall 'F -4 2 3'
_cell_length_a 7.812
_cell_length_b 7.812
_cell_length_c 7.812
_cell_angle_alpha 90.00
_cell_angle_beta 90.00
_cell_angle_gamma 90.00
loop_
_atom_site_label
_atom_site_type_symbol
_atom_site_fract_x
_atom_site_fract_y
_atom_site_fract_z
Tb1 Tb 0.000 0.000 0.000
Nd1 Nd 0.000 0.000 0.500
Lu1 Lu 0.250 0.250 0.750
Mg1 Mg 0.250 0.250 0.250
```

=====

Entry 5:
Entry from the Alexandria database: a relaxed structure of NdLuMgTc (PBE-GGA).

Structure (CIF):
```
data_NdLuMgTc
_chemical_formula_sum 'Nd4 Lu4 Mg4 Tc4'
_space_group_name_H-M_alt 'F -4 3 m'
_space_group_IT_number 216
_space_group_name_Hall 'F -4 2 3'
_cell_length_a 7.160
_cell_length_b 7.160
_cell_length_c 7.160
_cell_angle_alpha 90.00
_cell_angle_beta 90.00
_cell_angle_gamma 90.00
loop_
_atom_site_label
_atom_site_type_symbol
_atom_site_fract_x
_atom_site_fract_y
_atom_site_fract_z
Nd1 Nd 0.000 0.000 0.000
Lu1 Lu 0.000 0.000 0.500
Mg1 Mg 0.250 0.250 0.750
Tc1 Tc 0.250 0.250 0.250
```

=====

Entry 6:
Entry from the Alexandria database: a relaxed structure of NdLuMgTi (PBE-GGA).

Structure (CIF):
```
data_NdLuMgTi
_chemical_formula_sum 'Nd4 Lu4 Mg4 Ti4'
_space_group_name_H-M_alt 'F -4 3 m'
_space_group_IT_number 216
_space_group_name_Hall 'F -4 2 3'
_cell_length_a 7.452
_cell_length_b 7.452
_cell_length_c 7.452
_cell_angle_alpha 90.00
_cell_angle_beta 90.00
_cell_angle_gamma 90.00
loop_
_atom_site_label
_atom_site_type_symbol
_atom_site_fract_x
_atom_site_fract_y
_atom_site_fract_z
Nd1 Nd 0.000 0.000 0.000
Lu1 Lu 0.000 0.000 0.500
Mg1 Mg 0.250 0.250 0.250
Ti1 Ti 0.250 0.250 0.750
```

=====

We obtain energy of formation from the pure elements values of -1.48, -0.58, 0.03, 0.06, 0.13, 0.62 eV per formula unit for the records listed above, in that order.